Entry 1:
VASP calculation (GGA-PBE) on a relaxed structure of V2WAu.

Cell: 4.2271 4.2271 3.3735 Å, 90.00 90.00 90.00°
With the nearest neighbours (Å) after each atom.
Fractional positions:
V 0.0000 0.5000 0.0000  4 W 2.70, 4 Au 2.70, 4 V 2.99
V 0.5000 0.0000 0.0000  4 W 2.70, 4 Au 2.70, 4 V 2.99
W 0.0000 0.0000 0.5000  8 V 2.70, 4 Au 2.99
Au 0.5000 0.5000 0.5000  8 V 2.70, 4 W 2.99

Calculated values
* formation enthalpy at 0 K: 0.083 eV/atom
* total magnetization: 0.0 μB/cell
* density of states at the Fermi level: 4.51 states/eV/f.u.
* electronic total energy: -0.62727 Ry/atom

***

Entry 2:
VASP calculation (GGA-PBE) on a relaxed structure of TlIn2Bi2.

Cell: 8.8011 8.8011 4.0221 Å, 90.00 90.00 90.00°
With the nearest neighbours (Å) after each atom.
Fractional positions:
Tl 0.0000 0.0000 0.0000  4 In 3.42
Tl 0.5000 0.5000 0.0000  4 In 3.42
In 0.1366 0.3634 0.0000  6 Bi 3.27, 1 In 3.40, 2 Tl 3.42
In 0.3634 0.8634 0.0000  6 Bi 3.27, 1 In 3.40, 2 Tl 3.42
In 0.6366 0.1366 0.0000  6 Bi 3.27, 1 In 3.40, 2 Tl 3.42
In 0.8634 0.6366 0.0000  6 Bi 3.27, 1 In 3.40, 2 Tl 3.42
Bi 0.1562 0.6562 0.5000  6 In 3.27
Bi 0.3438 0.1562 0.5000  6 In 3.27
Bi 0.6562 0.8438 0.5000  6 In 3.27
Bi 0.8438 0.3438 0.5000  6 In 3.27

Calculated values
* formation enthalpy at 0 K: 0.038 eV/atom
* total magnetization: 0.0 μB/cell
* density of states at the Fermi level: 1.50 states/eV/f.u.
* electronic total energy: -0.22657 Ry/atom